! PBE Zn5Ga3Br12, relaxed; values from VASP
! Space-group type = Ia-3d, No. 230
! E_form (uncorrected) = -0.647 eV per atom
&SYSTEM
  ibrav = 0, nat = 80, ntyp = 3
/
ATOMIC_SPECIES
Br 79.90 Br.upf
Zn 65.41 Zn.upf
Ga 69.72 Ga.upf
CELL_PARAMETERS angstrom
-11.389 4.268 -8.080
4.218 -13.336 -4.194
-3.866 -0.320 14.077
ATOMIC_POSITIONS crystal
Br 0.884 0.586 0.904
Br 0.914 0.818 0.797
Br 0.021 0.404 0.818
Br 0.979 0.596 0.182
Br 0.521 0.318 0.904
Br 0.682 0.479 0.596
Br 0.479 0.682 0.096
Br 0.297 0.884 0.979
Br 0.703 0.586 0.182
Br 0.586 0.884 0.404
Br 0.021 0.616 0.703
Br 0.818 0.904 0.021
Br 0.596 0.616 0.414
Br 0.116 0.703 0.521
Br 0.521 0.203 0.116
Br 0.703 0.116 0.021
Br 0.884 0.297 0.479
Br 0.414 0.297 0.318
Br 0.203 0.521 0.616
Br 0.616 0.021 0.203
Br 0.182 0.086 0.703
Br 0.414 0.116 0.596
Br 0.596 0.979 0.682
Br 0.086 0.904 0.384
Br 0.404 0.021 0.318
Br 0.797 0.318 0.914
Br 0.384 0.979 0.797
Br 0.979 0.384 0.297
Br 0.318 0.797 0.414
Br 0.384 0.404 0.086
Br 0.682 0.203 0.586
Br 0.318 0.521 0.404
Br 0.818 0.914 0.297
Br 0.096 0.182 0.479
Br 0.586 0.703 0.682
Br 0.182 0.096 0.979
Br 0.914 0.096 0.616
Br 0.904 0.818 0.521
Br 0.479 0.797 0.884
Br 0.797 0.479 0.384
Br 0.096 0.914 0.116
Br 0.904 0.086 0.884
Br 0.297 0.414 0.818
Br 0.116 0.414 0.096
Br 0.404 0.384 0.586
Br 0.203 0.682 0.086
Br 0.616 0.596 0.914
Br 0.086 0.182 0.203
Zn 0.000 0.000 0.500
Zn 0.250 0.375 0.625
Zn 0.375 0.250 0.125
Zn 0.000 0.500 0.500
Zn 0.375 0.125 0.750
Zn 0.875 0.625 0.750
Zn 0.125 0.375 0.250
Zn 0.625 0.750 0.875
Zn 0.500 0.500 0.500
Zn 0.500 0.000 0.500
Zn 0.500 0.500 0.000
Zn 0.500 0.000 0.000
Zn 0.250 0.875 0.125
Zn 0.750 0.625 0.375
Zn 0.125 0.750 0.375
Zn 0.875 0.250 0.625
Zn 0.625 0.875 0.250
Zn 0.000 0.500 0.000
Zn 0.750 0.125 0.875
Zn 0.000 0.000 0.000
Ga 0.250 0.625 0.875
Ga 0.875 0.125 0.250
Ga 0.125 0.875 0.750
Ga 0.625 0.375 0.750
Ga 0.375 0.625 0.250
Ga 0.375 0.750 0.625
Ga 0.625 0.250 0.375
Ga 0.125 0.250 0.875
Ga 0.250 0.125 0.375
Ga 0.750 0.375 0.125
Ga 0.750 0.875 0.625
Ga 0.875 0.750 0.125



! PBE ZnGaBr2, relaxed; values from VASP
! Space-group type = I-42d, No. 122
! E_form (uncorrected) = -0.272 eV per atom
&SYSTEM
  ibrav = 0, nat = 8, ntyp = 3
/
ATOMIC_SPECIES
Zn 65.41 Zn.upf
Br 79.90 Br.upf
Ga 69.72 Ga.upf
CELL_PARAMETERS angstrom
-4.371 -4.418 -0.469
3.398 -3.749 3.639
-3.964 -1.293 7.707
ATOMIC_POSITIONS crystal
Zn 0.500 0.500 0.000
Zn 0.250 0.750 0.500
Br 0.375 0.433 0.750
Br 0.567 0.125 0.250
Br 0.183 0.625 0.250
Br 0.875 0.817 0.750
Ga 0.000 0.000 0.000
Ga 0.750 0.250 0.500



! PBE Zn2Ga2Br7, relaxed; values from VASP
! Space-group type = C2/m, No. 12
! E_form (uncorrected) = -0.642 eV per atom
&SYSTEM
  ibrav = 0, nat = 11, ntyp = 3
/
ATOMIC_SPECIES
Br 79.90 Br.upf
Zn 65.41 Zn.upf
Ga 69.72 Ga.upf
CELL_PARAMETERS angstrom
-5.383 3.244 -1.908
-2.725 -7.097 -1.260
-1.032 0.913 7.581
ATOMIC_POSITIONS crystal
Br 0.500 0.000 0.000
Br 0.252 0.606 0.606
Br 0.781 0.575 0.917
Br 0.748 0.394 0.394
Br 0.219 0.083 0.425
Br 0.219 0.425 0.083
Br 0.781 0.917 0.575
Zn 0.595 0.763 0.763
Zn 0.405 0.237 0.237
Ga 0.000 0.310 0.690
Ga 0.000 0.690 0.310



! PBE ZnGa3Br, relaxed; values from VASP
! Space-group type = Pm-3m, No. 221
! E_form (uncorrected) = 0.050 eV per atom
&SYSTEM
  ibrav = 0, nat = 5, ntyp = 3
/
ATOMIC_SPECIES
Ga 69.72 Ga.upf
Br 79.90 Br.upf
Zn 65.41 Zn.upf
CELL_PARAMETERS angstrom
-2.775 1.319 3.915
-0.263 -4.763 1.418
4.123 0.583 2.725
ATOMIC_POSITIONS crystal
Ga 0.500 0.000 0.000
Ga 0.000 0.500 0.000
Ga 0.000 0.000 0.500
Br 0.500 0.500 0.500
Zn 0.000 0.000 0.000